Computed, not measured: crystalline CoSiW2 at its relaxed geometry at the GGA-PBE level of DFT.

## Properties
- calculated volume (Å³/cell) = 223
- size of the total moment (μB/atom) = 0.2216
- electronic total energy (eV per atom) = -9.487

The structure in CIF format:
```
data_CoSiW2
_chemical_formula_sum 'Co4 Si4 W8'
_space_group_name_H-M_alt 'F -4 3 m'
_space_group_IT_number 216
_space_group_name_Hall 'F -4 2 3'
_cell_length_a 6.060
_cell_length_b 6.060
_cell_length_c 6.060
_cell_angle_alpha 90.00
_cell_angle_beta 90.00
_cell_angle_gamma 90.00
loop_
_atom_site_label
_atom_site_fract_x
_atom_site_fract_y
_atom_site_fract_z
Co1 0.000 0.000 0.000
Si1 0.250 0.250 0.750
W1 0.000 0.000 0.500
W2 0.250 0.250 0.250
```